# 1
Na2PmPaTe4 | PBE | optimized geometry

a = 7.7021 Å, b = 4.4076 Å, c = 8.0858 Å
α = 90.00°, β = 108.20°, γ = 90.00°
Closest atoms and distances in Å follow each position.
Fractional positions:
Na: 0.0000 0.0000 0.0000  6 Te 3.26-3.27
Na: 0.5000 0.5000 0.0000  6 Te 3.23
Pm: 0.0000 0.5000 0.5000  6 Te 3.17
Pa: 0.5000 0.0000 0.5000  6 Te 3.12-3.14
Te: 0.2515 0.0000 0.7398  1 Pa 3.12, 2 Pm 3.17, 3 Na 3.23-3.27
Te: 0.2570 0.5000 0.2609  2 Pa 3.14, 1 Pm 3.17, 3 Na 3.23-3.26
Te: 0.7430 0.5000 0.7391  2 Pa 3.14, 1 Pm 3.17, 3 Na 3.23-3.26
Te: 0.7485 0.0000 0.2602  1 Pa 3.12, 2 Pm 3.17, 3 Na 3.23-3.27

## Properties
E_tot ... -4.758 eV per atom
Raw formation energy ... -1.08 eV per atom

# 2
NaPr2Pa | PBE | optimized geometry

a = 3.4844 Å, b = 3.4844 Å, c = 38.1085 Å
α = 90.00°, β = 90.00°, γ = 120.00°
Closest atoms and distances in Å follow each position.
Fractional positions:
Na: 0.0000 0.0000 0.0000  6 Na 3.48, 2 Pr 3.56
Na: 0.3333 0.6667 0.6667  6 Na 3.48, 2 Pr 3.56
Na: 0.6667 0.3333 0.3333  6 Na 3.48, 2 Pr 3.56
Pr: 0.0000 0.0000 0.0935  3 Pa 3.44, 6 Pr 3.48, 1 Na 3.56
Pr: 0.0000 0.0000 0.9065  3 Pa 3.44, 6 Pr 3.48, 1 Na 3.56
Pr: 0.3333 0.6667 0.5732  3 Pa 3.44, 6 Pr 3.48, 1 Na 3.56
Pr: 0.3333 0.6667 0.7601  3 Pa 3.44, 6 Pr 3.48, 1 Na 3.56
Pr: 0.6667 0.3333 0.2399  3 Pa 3.44, 6 Pr 3.48, 1 Na 3.56
Pr: 0.6667 0.3333 0.4268  3 Pa 3.44, 6 Pr 3.48, 1 Na 3.56
Pa: 0.0000 0.0000 0.5000  6 Pr 3.44, 6 Pa 3.48
Pa: 0.3333 0.6667 0.1667  6 Pr 3.44, 6 Pa 3.48
Pa: 0.6667 0.3333 0.8333  6 Pr 3.44, 6 Pa 3.48

## Properties
E_tot ... -4.864 eV per atom
Energy of formation from the pure elements ... 0.23 eV per atom

# 3
Na3Pr2PaS6 | PBE | optimized geometry

a = 7.0668 Å, b = 7.0668 Å, c = 7.1464 Å
α = 99.53°, β = 99.53°, γ = 119.99°
Closest atoms and distances in Å follow each position.
Fractional positions:
Na: 0.0000 0.0000 0.0000  6 S 2.91-3.05
Na: 0.3315 0.6685 0.0000  6 S 2.91-3.02
Na: 0.6685 0.3315 0.0000  6 S 2.91-3.02
Pr: 0.1666 0.8334 0.5000  6 S 2.88-2.89
Pr: 0.8334 0.1666 0.5000  6 S 2.88-2.89
Pa: 0.5000 0.5000 0.5000  6 S 2.74-2.76
S: 0.1028 0.4210 0.2636  1 Pa 2.76, 2 Pr 2.89, 3 Na 2.91-3.02
S: 0.2606 0.2606 0.7340  1 Pa 2.74, 2 Pr 2.88, 3 Na 2.93-3.05
S: 0.4210 0.1028 0.2636  1 Pa 2.76, 2 Pr 2.89, 3 Na 2.91-3.02
S: 0.5790 0.8972 0.7364  1 Pa 2.76, 2 Pr 2.89, 3 Na 2.91-3.02
S: 0.7394 0.7394 0.2660  1 Pa 2.74, 2 Pr 2.88, 3 Na 2.93-3.05
S: 0.8972 0.5790 0.7364  1 Pa 2.76, 2 Pr 2.89, 3 Na 2.91-3.02

## Properties
E_tot ... -5.638 eV per atom
Raw formation energy ... -1.66 eV per atom

# 4
NaPr2PaS6 | PBE | optimized geometry

a = 7.5094 Å, b = 7.5094 Å, c = 7.5094 Å
α = 56.80°, β = 56.80°, γ = 56.80°
Closest atoms and distances in Å follow each position.
Fractional positions:
Na: 0.0000 0.0000 0.0000  6 S 2.85-3.05
Pr: 0.2815 0.2815 0.2815  6 S 2.85-2.93
Pr: 0.7923 0.7923 0.7923  6 S 2.82-2.91
Pa: 0.4846 0.4846 0.4846  6 S 2.65-2.66
S: 0.1066 0.6742 0.4010  1 Pa 2.65, 2 Pr 2.82-2.93, 1 Na 2.85
S: 0.2206 0.5947 0.8562  1 Pa 2.66, 2 Pr 2.85-2.91
S: 0.4010 0.1066 0.6742  1 Pa 2.65, 2 Pr 2.82-2.93, 1 Na 2.85
S: 0.5947 0.8562 0.2206  1 Pa 2.66, 2 Pr 2.85-2.91
S: 0.6742 0.4010 0.1066  1 Pa 2.65, 2 Pr 2.82-2.93, 1 Na 2.85
S: 0.8562 0.2206 0.5947  1 Pa 2.66, 2 Pr 2.85-2.91

## Properties
E_tot ... -6.264 eV per atom
Raw formation energy ... -1.75 eV per atom